[1]
Na10B13C7, optimized geometry, DFT GGA-PBE; E = -161.0 eV/cell; density = 2.46 g/cm³; E above lowest polymorph = 0.035 eV per atom; formation energy = 0.12 eV per atom
1.0
7.170 -2.507 0.000
7.170 2.507 0.000
-2.873 0.000 8.520
Na B C
10 13 7
Direct
0.049 0.049 0.247
0.148 0.151 0.751
0.249 0.249 0.249
0.350 0.350 0.753
0.450 0.449 0.249
0.551 0.550 0.751
0.650 0.650 0.247
0.751 0.751 0.751
0.849 0.852 0.249
0.951 0.951 0.753
0.133 0.467 0.000
0.145 0.855 0.500
0.238 0.561 0.500
0.315 0.685 0.000
0.361 0.048 0.500
0.439 0.762 0.500
0.533 0.867 0.000
0.578 0.221 0.500
0.667 0.333 0.000
0.730 0.059 0.000
0.779 0.422 0.500
0.941 0.270 0.000
0.952 0.639 0.500
0.035 0.366 0.501
0.065 0.732 0.000
0.268 0.935 0.000
0.468 0.127 0.000
0.634 0.965 0.499
0.836 0.164 0.500
0.873 0.532 0.000

[2]
Na2PbIO2, optimized geometry, DFT GGA-PBE; E = -48.0 eV/cell; uncorrected formation energy = -1.032 eV per atom; density = 4.25 g/cm³
1.0
7.240 0.000 0.000
0.000 4.868 0.000
-3.237 0.000 9.127
Na Pb I O
4 2 2 4
Direct
0.103 0.250 0.347
0.395 0.750 0.278
0.605 0.250 0.722
0.897 0.750 0.653
0.157 0.250 0.960
0.843 0.750 0.040
0.299 0.750 0.592
0.701 0.250 0.408
0.125 0.000 0.154
0.125 0.500 0.154
0.875 0.000 0.846
0.875 0.500 0.846